Entry 1:
Material: ZrIn2Br
Method: DFT, PBE-GGA
State: relaxed

Structure (extended XYZ):
```
4
Lattice="-1.590 2.358 7.040 1.590 -2.358 7.040 1.590 2.358 -7.040" Properties=species:S:1:pos:R:3 pbc="T T T"
Zr 0.000 0.000 0.000
In 1.590 0.000 2.767
In 0.000 2.358 4.273
Br 0.000 0.000 7.040
```

Computed properties:
E above lowest polymorph ... 1.101 eV/f.u.
Formation energy without anion corrections ... -16.52 kJ/mol of atoms
Total moment ... 0.00 μB/cell
DOS(E_F) ... 2.67 states/eV per cell

Entry 2:
Material: ZrIn2Br
Method: DFT, PBE-GGA
State: relaxed

Structure (extended XYZ):
```
4
Lattice="0.000 3.743 3.743 3.743 0.000 3.743 3.743 3.743 0.000" Properties=species:S:1:pos:R:3 pbc="T T T"
Zr 0.000 0.000 0.000
In 1.872 1.872 1.872
In 5.615 5.615 5.615
Br 3.743 3.743 3.743
```

Computed properties:
E above lowest polymorph ... 2.974 eV/f.u.
Formation energy without anion corrections ... 28.67 kJ/mol of atoms
Total moment ... 0.00 μB/cell
DOS(E_F) ... 4.06 states/eV per cell

Entry 3:
Material: IrBr3
Method: DFT, PBE-GGA
State: relaxed

Structure (extended XYZ):
```
16
Lattice="6.540 0.000 0.000 0.000 11.810 0.000 0.000 0.000 6.255" Properties=species:S:1:pos:R:3 pbc="T T T"
Ir 0.248 2.953 6.254
Ir 3.022 8.858 3.127
Ir 3.518 2.953 3.128
Ir 6.292 8.858 0.001
Br 0.775 8.858 2.225
Br 1.291 7.245 5.309
Br 1.291 10.470 5.309
Br 1.979 1.340 2.181
Br 1.979 4.565 2.181
Br 2.495 2.953 5.353
Br 4.045 8.858 0.903
Br 4.561 7.245 4.074
Br 4.561 10.470 4.074
Br 5.249 1.340 0.947
Br 5.249 4.565 0.947
Br 5.765 2.953 4.030
```

Computed properties:
E above lowest polymorph ... 1.912 eV/f.u.
Formation energy without anion corrections ... 20.47 kJ/mol of atoms
Total moment ... 0.00 μB/cell

Entry 4:
Material: IrBr3
Method: DFT, PBE-GGA
State: relaxed

Structure (extended XYZ):
```
4
Lattice="5.165 0.000 0.000 0.000 5.165 0.000 0.000 0.000 3.147" Properties=species:S:1:pos:R:3 pbc="T T T"
Ir 0.000 0.000 0.000
Br 0.000 2.582 1.574
Br 2.582 0.000 1.574
Br 2.582 2.582 0.000
```

Computed properties:
E above lowest polymorph ... 5.905 eV/f.u.
Formation energy without anion corrections ... 116.79 kJ/mol of atoms
Total moment ... 0.00 μB/cell
DOS(E_F) ... 5.35 states/eV per cell

Entry 5:
Material: IrBr3
Method: DFT, PBE-GGA
State: relaxed

Structure (extended XYZ):
```
8
Lattice="5.989 -6.587 0.000 5.989 6.587 0.000 0.000 0.000 3.525" Properties=species:S:1:pos:R:3 pbc="T T T"
Ir 5.989 3.741 2.644
Ir 5.989 -3.741 0.881
Br 4.388 4.646 0.881
Br 7.590 4.646 0.881
Br 5.989 1.874 0.881
Br 5.989 -1.874 2.644
Br 4.388 -4.646 2.644
Br 7.590 -4.646 2.644
```

Computed properties:
E above lowest polymorph ... 1.760 eV/f.u.
Formation energy without anion corrections ... 16.79 kJ/mol of atoms
Total moment ... 0.00 μB/cell

Entry 6:
Material: IrBr3
Method: DFT, PBE-GGA
State: relaxed

Structure (extended XYZ):
```
4
Lattice="4.180 2.414 1.517 -4.180 2.414 1.517 0.000 -4.827 1.517" Properties=species:S:1:pos:R:3 pbc="T T T"
Ir 0.000 0.000 0.000
Br -2.090 -1.207 1.517
Br -2.090 1.207 3.033
Br 0.000 2.414 1.517
```

Computed properties:
E above lowest polymorph ... 5.414 eV/f.u.
Formation energy without anion corrections ... 104.95 kJ/mol of atoms
Total moment ... 0.00 μB/cell
DOS(E_F) ... 7.26 states/eV per cell

Entry 7:
Material: IrBr3
Method: DFT, PBE-GGA
State: relaxed

Structure (extended XYZ):
```
4
Lattice="1.803 -3.542 0.000 1.803 3.542 0.000 0.000 0.000 9.768" Properties=species:S:1:pos:R:3 pbc="T T T"
Ir 0.000 0.000 0.000
Br 0.000 0.000 4.884
Br 1.803 0.000 1.653
Br 1.803 0.000 8.115
```

Computed properties:
E above lowest polymorph ... 2.563 eV/f.u.
Formation energy without anion corrections ... 36.16 kJ/mol of atoms
Total moment ... 1.96 μB/cell
DOS(E_F) ... 4.99 states/eV per cell

Entry 8:
Material: IrBr3
Method: DFT, PBE-GGA
State: relaxed

Structure (extended XYZ):
```
4
Lattice="0.000 3.492 3.492 3.492 0.000 3.492 3.492 3.492 0.000" Properties=species:S:1:pos:R:3 pbc="T T T"
Ir 0.000 0.000 0.000
Br 1.746 1.746 1.746
Br 3.492 3.492 3.492
Br 5.238 5.238 5.238
```

Computed properties:
E above lowest polymorph ... 5.747 eV/f.u.
Formation energy without anion corrections ... 112.97 kJ/mol of atoms
Total moment ... 0.73 μB/cell
DOS(E_F) ... 5.69 states/eV per cell

Entry 9:
Material: IrBr7
Method: DFT, PBE-GGA
State: relaxed

Structure (extended XYZ):
```
8
Lattice="0.000 4.560 4.560 4.560 0.000 4.560 4.560 4.560 0.000" Properties=species:S:1:pos:R:3 pbc="T T T"
Ir 0.000 0.000 0.000
Br 2.280 2.280 0.000
Br 2.280 0.000 2.280
Br 4.560 2.280 2.280
Br 0.000 2.280 2.280
Br 2.280 4.560 2.280
Br 2.280 2.280 4.560
Br 4.560 4.560 4.560
```

Computed properties:
Formation energy without anion corrections ... 101.64 kJ/mol of atoms
Total moment ... 0.00 μB/cell
DOS(E_F) ... 13.54 states/eV per cell

Entry 10:
Material: IrBr3
Method: DFT, PBE-GGA
State: relaxed

Structure (extended XYZ):
```
4
Lattice="2.567 -6.593 0.000 2.567 6.593 0.000 0.000 0.000 3.723" Properties=species:S:1:pos:R:3 pbc="T T T"
Ir 0.000 0.000 0.000
Br 2.567 4.912 1.861
Br 2.567 0.000 0.000
Br 2.567 -4.912 1.861
```

Computed properties:
E above lowest polymorph ... 0.748 eV/f.u.
Formation energy without anion corrections ... -7.60 kJ/mol of atoms
Total moment ... 0.00 μB/cell
DOS(E_F) ... 4.64 states/eV per cell

Entry 11:
Material: IrBr4
Method: DFT, PBE-GGA
State: relaxed

Structure (extended XYZ):
```
5
Lattice="-3.176 3.176 3.176 3.176 -3.176 3.176 3.176 3.176 -3.176" Properties=species:S:1:pos:R:3 pbc="T T T"
Ir 0.000 0.000 0.000
Br 1.588 1.588 -1.588
Br 1.588 -1.588 1.588
Br -1.588 1.588 1.588
Br 1.588 1.588 1.588
```

Computed properties:
E above lowest polymorph ... 3.575 eV/f.u.
Formation energy without anion corrections ... 53.14 kJ/mol of atoms
Total moment ... 0.00 μB/cell
DOS(E_F) ... 6.12 states/eV per cell

Entry 12:
Material: IrBr8
Method: DFT, PBE-GGA
State: relaxed

Structure (extended XYZ):
```
9
Lattice="-7.250 7.250 2.452 7.250 -7.250 2.452 7.250 7.250 -2.452" Properties=species:S:1:pos:R:3 pbc="T T T"
Ir 0.000 0.000 0.000
Br 2.393 0.000 0.000
Br 12.107 0.000 0.000
Br 0.000 2.393 0.000
Br 3.896 3.896 0.000
Br 3.354 -3.354 2.452
Br -3.354 3.354 2.452
Br 3.354 3.354 2.452
Br 0.000 12.107 0.000
```

Computed properties:
Formation energy without anion corrections ... 10.58 kJ/mol of atoms
Total moment ... 2.78 μB/cell
DOS(E_F) ... 4.23 states/eV per cell